Computed, not measured: a relaxed TlZn2P crystal at the PBE level of DFT.

Results
The calculation puts the calculated volume at 88 Å³/f.u. The value obtained for the total energy is -9.604 eV/cell. The calculation puts the total moment at 0.0 μB/f.u.

a b c (Å): 3.4944 3.4944 7.1991
angles (deg): 90.00 90.00 90.00
With the nearest neighbours (Å) after each atom.
Space group P4mm (No. 99)
Inequivalent atoms, fractional coordinates:
Tl 0.0000 0.0000 0.0000  5 Zn 2.88-3.09
Zn 0.0000 0.0000 0.6003  4 P 2.47
Zn 0.5000 0.5000 0.2574  1 P 2.35
P 0.5000 0.5000 0.5843  5 Zn 2.35-2.47